Compound: PbAu2
Source: the Alexandria database
Functional: PBE
Structure: relaxed

Values from the calculation:
electronic total energy	-3.40	eV per atom
D(E_F)	1.50	states/eV/f.u.
space-group type	I4_1/amd
theoretical density	13678	kg/m3

```
6
Lattice="9.778 -0.049 0.000 8.212 5.308 0.000 -8.995 -2.630 2.791" Properties=species:S:1:pos:R:3 pbc="T T T"
Au 10.331 3.020 0.000
Au 3.552 -0.415 1.395
Au 7.658 2.239 0.000
Au 6.225 0.366 1.395
Pb 0.000 0.000 0.000
Pb 4.106 2.654 1.395
```

Compound: Y7ErTm4
Source: the Alexandria database
Functional: PBE
Structure: relaxed

Values from the calculation:
polymorph energy (0 for the lowest one)	0	meV/atom
D(E_F)	20.45	states/eV/f.u.
space-group type	C2/m
theoretical density	6299	kg/m3

```
12
Lattice="-5.272 0.444 -2.486 0.828 -2.726 -9.115 -2.864 -7.698 -2.173" Properties=species:S:1:pos:R:3 pbc="T T T"
Y -4.989 -6.258 -11.156
Y -2.320 -3.722 -2.618
Y -0.763 -3.631 -5.903
Y -6.546 -6.349 -7.871
Y -2.811 -8.251 -9.256
Y -2.636 0.222 -1.243
Y -4.497 -1.729 -4.517
Er 0.000 0.000 0.000
Tm -4.358 -4.844 -5.369
Tm -2.951 -5.136 -8.405
Tm -3.147 -1.692 -7.373
Tm -4.161 -8.288 -6.401
```

Compound: Ti12Sb6O
Source: the Alexandria database
Functional: PBE
Structure: relaxed

Values from the calculation:
formation energy from raw total energies	-0.456	eV/atom
D(E_F)	20.37	states/eV/f.u.
space-group type	R-3
theoretical density	5941	kg/m3

```
19
Lattice="-0.349 2.981 6.718 -4.425 -5.834 0.721 6.651 -3.145 0.103" Properties=species:S:1:pos:R:3 pbc="T T T"
Ti 0.375 -2.682 5.854
Ti 0.280 -5.068 3.980
Ti 2.906 -3.628 4.471
Ti 1.502 -3.317 1.688
Ti 1.598 -0.931 3.562
Ti -1.029 -2.370 3.071
Ti 1.845 -0.857 0.450
Ti 2.781 -4.154 7.192
Ti 2.117 -6.459 5.524
Ti 0.033 -5.142 7.091
Ti -0.904 -1.844 0.349
Ti -0.240 0.461 2.017
Sb -1.940 -4.195 5.269
Sb -0.885 -0.214 4.708
Sb -0.880 -4.541 1.265
Sb 3.818 -1.803 2.273
Sb 2.763 -5.784 2.833
Sb 2.757 -1.457 6.277
O 0.000 0.000 0.000
```

Compound: La12TmCd6
Source: the Alexandria database
Functional: PBE
Structure: relaxed

Values from the calculation:
electronic total energy	-3.77	eV per atom
D(E_F)	26.23	states/eV/f.u.
space-group type	R-3
theoretical density	6954	kg/m3

```
19
Lattice="-2.742 7.476 2.779 1.539 -2.180 8.001 7.780 3.232 -0.401" Properties=species:S:1:pos:R:3 pbc="T T T"
La 1.972 6.328 6.370
La 4.224 3.204 7.509
La 5.538 5.685 4.637
La 4.605 2.201 4.009
La 2.353 5.325 2.869
La 1.039 2.844 5.741
La 3.151 1.289 1.232
La 6.023 8.052 6.832
La 6.356 5.204 8.962
La 3.426 7.240 9.146
La 0.554 0.477 3.546
La 0.221 3.325 1.416
Tm 0.000 0.000 0.000
Cd 1.273 4.427 9.051
Cd -0.773 5.414 4.099
Cd 2.846 0.051 6.214
Cd 5.304 4.102 1.327
Cd 7.349 3.115 6.279
Cd 3.731 8.478 4.165
```

Compound: ZrFeIr
Source: the Alexandria database
Functional: PBE
Structure: relaxed

Values from the calculation:
electronic total energy	-9.20	eV per atom
D(E_F)	3.26	states/eV/f.u.
space-group type	Imma
theoretical density	11801	kg/m3

```
6
Lattice="5.123 0.116 0.124 -2.398 4.529 -0.124 2.626 1.581 4.109" Properties=species:S:1:pos:R:3 pbc="T T T"
Zr 2.756 4.626 1.548
Zr 2.595 1.599 2.561
Ir 2.562 0.058 0.062
Ir -1.199 2.264 -0.062
Fe 0.114 3.055 1.992
Fe 1.362 2.322 0.000
```

Compound: Ce2DyTm3Sb6
Source: the Alexandria database
Functional: PBE
Structure: relaxed

Values from the calculation:
formation energy from raw total energies	-1.069	eV/atom
D(E_F)	14.57	states/eV/f.u.
space-group type	C2/m
theoretical density	7729	kg/m3

```
12
Lattice="-0.012 0.989 -4.291 3.962 -7.646 -1.773 -9.300 -2.694 1.666" Properties=species:S:1:pos:R:3 pbc="T T T"
Ce -3.581 -6.086 -3.652
Ce -1.769 -3.265 -0.747
Dy -0.006 0.494 -2.146
Tm 1.975 -3.329 -3.032
Tm -5.545 -2.238 -2.759
Tm 0.194 -7.112 -1.639
Sb -2.539 -8.523 -1.957
Sb -0.741 -4.731 -3.348
Sb -2.811 -0.828 -2.442
Sb -8.270 -3.613 -3.068
Sb 2.919 -5.738 -1.331
Sb -4.609 -4.620 -1.051
```

Compound: Nd6Mg2Ir
Source: the Alexandria database
Functional: PBE
Structure: relaxed

Values from the calculation:
electronic total energy	-4.63	eV per atom
D(E_F)	11.40	states/eV/f.u.
space-group type	P2_1/c
theoretical density	6197	kg/m3

```
18
Lattice="-3.793 -6.042 0.889 3.156 -1.020 6.527 -8.428 5.605 4.951" Properties=species:S:1:pos:R:3 pbc="T T T"
Nd -5.543 -4.171 2.263
Nd -5.341 -2.592 7.746
Nd -9.142 -0.245 10.130
Nd -6.350 -1.330 4.504
Nd -10.289 1.062 6.604
Nd -2.602 -2.659 5.184
Nd -3.522 2.713 10.105
Nd -3.724 1.134 4.621
Nd 0.077 -1.213 2.238
Nd -2.716 -0.128 7.864
Nd 1.223 -2.520 5.764
Nd -6.463 1.201 7.184
Mg -8.562 -1.927 7.280
Mg -5.548 -0.095 10.215
Mg -3.518 -1.363 2.152
Mg -0.504 0.469 5.088
Ir -0.319 -3.531 3.708
Ir -4.214 2.802 2.476
```

Compound: SiNi2Ru
Source: the Alexandria database
Functional: PBE
Structure: relaxed

Values from the calculation:
formation energy from raw total energies	-0.282	eV/atom
D(E_F)	5.67	states/eV/f.u.
space-group type	Immm
theoretical density	8630	kg/m3

```
4
Lattice="-3.129 -0.716 -3.616 -0.659 -1.705 -4.476 -1.576 -3.763 -0.197" Properties=species:S:1:pos:R:3 pbc="T T T"
Ni -3.737 -2.451 -7.912
Ni -2.732 -3.062 -4.323
Ru -4.022 -4.638 -6.216
Si -1.341 -1.546 -2.072
```

Compound: MnCoTc2
Source: the Alexandria database
Functional: PBE
Structure: relaxed

Values from the calculation:
polymorph energy (0 for the lowest one)	78	meV/atom
D(E_F)	4.31	states/eV/f.u.
space-group type	Pmmm
theoretical density	10125	kg/m3

```
4
Lattice="2.629 0.000 0.000 0.000 3.661 0.000 0.000 0.000 5.281" Properties=species:S:1:pos:R:3 pbc="T T T"
Co 1.314 1.831 1.320
Mn 1.314 1.831 3.961
Tc 0.000 0.000 5.272
Tc 0.000 0.000 2.649
```

Compound: Ga3GeS
Source: the Alexandria database
Functional: PBE
Structure: relaxed

Values from the calculation:
formation energy from raw total energies	0.348	eV/atom
polymorph energy (0 for the lowest one)	0	meV/atom
D(E_F)	2.63	states/eV/f.u.
space-group type	Pm-3m
theoretical density	4251	kg/m3

```
5
Lattice="4.968 0.000 0.000 0.000 4.968 0.000 0.000 0.000 4.968" Properties=species:S:1:pos:R:3 pbc="T T T"
Ge 0.000 0.000 0.000
S 2.484 2.484 2.484
Ga 0.000 2.484 0.000
Ga 0.000 0.000 2.484
Ga 2.484 0.000 0.000
```

Compound: Ag5Te2Se
Source: the Alexandria database
Functional: PBE
Structure: relaxed

Values from the calculation:
formation energy from raw total energies	-0.010	eV/atom
D(E_F)	3.95	states/eV/f.u.
space-group type	C2/c
theoretical density	6709	kg/m3

```
16
Lattice="4.618 0.000 -0.860 -2.309 6.907 0.430 -2.186 0.000 13.963" Properties=species:S:1:pos:R:3 pbc="T T T"
Ag 0.458 5.949 12.459
Ag 0.881 5.949 7.625
Ag -1.212 3.935 6.358
Ag 0.119 3.935 0.624
Ag 1.762 2.988 3.061
Ag -1.639 3.919 10.472
Ag 1.335 2.972 7.176
Ag 0.004 2.972 12.909
Ag -0.335 0.959 1.074
Ag -0.758 0.959 5.908
Te 0.940 5.123 4.980
Te 2.585 5.123 1.141
Te -0.817 1.784 8.553
Te -2.462 1.784 12.392
Se 0.670 5.070 10.042
Se -0.546 1.837 3.491
```

Compound: Pm4Nd5Tm2
Source: the Alexandria database
Functional: PBE
Structure: relaxed

Values from the calculation:
polymorph energy (0 for the lowest one)	0	meV/atom
D(E_F)	17.56	states/eV/f.u.
space-group type	C2/m
theoretical density	7216	kg/m3

```
11
Lattice="-0.906 3.198 -1.124 -3.522 1.809 7.987 10.495 3.021 5.606" Properties=species:S:1:pos:R:3 pbc="T T T"
Pm 4.844 3.844 7.031
Pm 7.414 6.456 6.913
Pm 1.223 4.183 5.438
Pm -1.348 1.571 5.556
Nd 6.379 5.133 3.984
Nd -0.313 2.894 8.485
Nd 2.074 5.578 8.720
Nd -0.453 1.599 -0.562
Nd 3.993 2.450 3.750
Tm 0.887 1.325 3.055
Tm 5.179 6.702 9.414
```

Compound: Ce2ScF8
Source: the Alexandria database
Functional: PBE
Structure: relaxed

Values from the calculation:
formation energy from raw total energies	-3.777	eV/atom
D(E_F)	18.85	states/eV/f.u.
space-group type	C2/m
theoretical density	5478	kg/m3

```
11
Lattice="4.002 0.000 0.000 0.000 5.404 -0.073 -2.001 -2.401 6.722" Properties=species:S:1:pos:R:3 pbc="T T T"
Ce 2.001 0.161 4.452
Ce 0.000 2.841 2.197
Sc 2.001 0.000 0.000
F 0.000 1.248 5.454
F 2.001 4.433 1.934
F 2.001 2.454 3.701
F 2.001 -1.197 6.461
F 0.000 0.548 2.948
F 0.000 -1.431 4.715
F 2.001 1.755 1.195
F 0.000 4.200 0.188
```

Compound: Er2AgIr
Source: the Alexandria database
Functional: PBE
Structure: relaxed

Values from the calculation:
polymorph energy (0 for the lowest one)	9	meV/atom
D(E_F)	2.87	states/eV/f.u.
space-group type	Fm-3m
theoretical density	12448	kg/m3

```
4
Lattice="-1.246 -2.828 3.839 2.870 -3.788 1.305 2.618 0.214 4.170" Properties=species:S:1:pos:R:3 pbc="T T T"
Ir 0.000 0.000 0.000
Ag 2.121 -3.201 4.657
Er 3.181 -4.802 6.986
Er 1.060 -1.601 2.329
```

Compound: AcSmEuAg
Source: the Alexandria database
Functional: PBE
Structure: relaxed

Values from the calculation:
electronic total energy	-5.32	eV per atom
D(E_F)	5.17	states/eV/f.u.
space-group type	F-43m
theoretical density	8150	kg/m3

```
4
Lattice="-1.023 4.516 3.296 -2.056 -0.721 5.249 3.300 1.031 4.511" Properties=species:S:1:pos:R:3 pbc="T T T"
Eu 0.166 3.620 9.793
Ac 0.000 0.000 0.000
Ag 0.110 2.413 6.528
Sm 0.055 1.207 3.264
```

Compound: TbCeYTl
Source: the Alexandria database
Functional: PBE
Structure: relaxed

Values from the calculation:
electronic total energy	-4.83	eV per atom
D(E_F)	7.06	states/eV/f.u.
space-group type	F-43m
theoretical density	8704	kg/m3

```
4
Lattice="-0.123 -5.133 1.758 3.630 -3.588 -1.845 3.910 -1.838 3.284" Properties=species:S:1:pos:R:3 pbc="T T T"
Y 5.562 -7.919 2.398
Tl 3.708 -5.279 1.599
Tb 1.854 -2.640 0.799
Ce 0.000 0.000 0.000
```

Compound: Zr2ScAl
Source: the Alexandria database
Functional: PBE
Structure: relaxed

Values from the calculation:
electronic total energy	-6.93	eV per atom
D(E_F)	3.60	states/eV/f.u.
space-group type	P4/mmm
theoretical density	4978	kg/m3

```
4
Lattice="-5.054 0.405 0.087 0.072 -0.185 5.067 0.265 3.287 0.116" Properties=species:S:1:pos:R:3 pbc="T T T"
Sc 0.169 1.551 2.592
Al -2.395 1.846 0.101
Zr 0.000 0.000 0.000
Zr -2.491 0.110 2.577
```

Compound: RbTiI2
Source: the Alexandria database
Functional: PBE
Structure: relaxed

Values from the calculation:
formation energy from raw total energies	-0.461	eV/atom
polymorph energy (0 for the lowest one)	46	meV/atom
D(E_F)	6.20	states/eV/f.u.
space-group type	R-3m
theoretical density	3693	kg/m3

```
4
Lattice="-0.912 -2.572 -3.363 -0.347 -4.278 0.577 -10.893 -1.166 1.057" Properties=species:S:1:pos:R:3 pbc="T T T"
I -7.201 -1.560 0.357
I -4.951 -6.456 -2.086
Rb 0.000 0.000 0.000
Ti -6.076 -4.008 -0.864
```

Compound: SrLa2TlO6
Source: the Alexandria database
Functional: PBE
Structure: relaxed

Values from the calculation:
formation energy from raw total energies	-2.335	eV/atom
D(E_F)	10.07	states/eV/f.u.
space-group type	R3
theoretical density	6367	kg/m3

```
10
Lattice="-2.338 2.686 -4.997 2.107 -1.506 -5.563 -3.746 -3.449 -3.870" Properties=species:S:1:pos:R:3 pbc="T T T"
Sr -2.403 -1.094 -10.767
La -1.684 -0.816 -7.186
La -3.475 -3.166 -3.844
Tl -0.328 0.131 -3.544
O -1.904 0.458 -5.162
O 0.550 -1.697 -7.212
O -1.836 0.743 -9.007
O -2.292 -2.586 -8.824
O -4.168 -0.941 -7.222
O -2.322 -2.826 -5.868
```

Compound: CeNd4Sm
Source: the Alexandria database
Functional: PBE
Structure: relaxed

Values from the calculation:
electronic total energy	-4.89	eV per atom
D(E_F)	13.68	states/eV/f.u.
space-group type	P2_1/c
theoretical density	6983	kg/m3

```
12
Lattice="10.954 0.000 0.000 0.000 6.240 0.986 0.000 1.146 6.216" Properties=species:S:1:pos:R:3 pbc="T T T"
Ce 0.000 3.693 3.601
Ce 5.477 3.120 0.493
Nd 7.271 6.236 0.989
Nd 9.160 6.809 4.098
Nd 3.656 3.696 3.597
Nd 9.133 3.117 0.498
Nd 1.821 4.269 6.705
Nd 7.298 3.690 3.606
Nd 1.794 0.577 3.105
Nd 3.683 1.150 6.213
Sm 5.477 0.573 3.108
Sm 0.000 0.000 0.000
```